Density functional theory data (PBE-GGA) for a geometry-optimized RbCeY4S8 structure.

Cell and atoms, written as extended XYZ:
```
14
Lattice="4.136 2.388 6.912 -4.136 2.388 6.912 0.000 -4.776 6.912" Properties=species:S:1:pos:R:3 pbc="T T T"
Rb 0.000 0.000 0.000
Ce 0.000 0.000 13.099
Y -2.139 -1.235 9.536
Y 0.000 0.000 5.251
Y 2.139 -1.235 9.536
Y 0.000 2.470 9.536
S 0.000 -2.286 11.192
S -1.980 1.143 11.192
S 0.000 0.000 7.979
S -1.775 -1.025 14.932
S 0.000 0.000 17.798
S 1.980 1.143 11.192
S 1.775 -1.025 14.932
S 0.000 2.049 14.932
```

crystal system	trigonal
D(E_F)	0.585	states/eV per atom
E_form (uncorrected)	-1.8816	eV/atom
total DFT energy (no corrections)	-6.5800	eV per atom

=====

Density functional theory data (PBE-GGA) for a geometry-optimized YTcN3 structure.

Cell and atoms, written as extended XYZ:
```
15
Lattice="6.464 0.000 0.000 -3.232 5.598 0.000 0.000 0.000 8.845" Properties=species:S:1:pos:R:3 pbc="T T T"
Y 0.000 0.000 0.000
Y 0.000 3.732 5.897
Y 3.232 1.866 2.948
Tc 0.000 0.000 5.941
Tc 0.000 3.732 2.993
Tc 3.232 1.866 0.045
N -1.418 2.913 3.678
N 0.000 1.638 6.627
N -1.814 4.779 6.627
N 1.814 1.047 0.730
N 1.418 2.913 3.678
N 0.000 5.370 3.678
N 1.814 4.779 6.627
N 4.650 1.047 0.730
N 3.232 3.504 0.730
```

crystal system	trigonal
D(E_F)	0.300	states/eV per atom
E_form (uncorrected)	0.0030	eV/atom
total DFT energy (no corrections)	-8.3582	eV per atom

=====

Density functional theory data (PBE-GGA) for a geometry-optimized BeAgRh2 structure.

Cell and atoms, written as extended XYZ:
```
8
Lattice="2.833 0.000 0.000 0.000 4.611 0.000 0.000 0.000 8.505" Properties=species:S:1:pos:R:3 pbc="T T T"
Be 0.000 0.000 0.000
Be 1.417 2.306 0.000
Ag 0.000 2.306 2.009
Ag 1.417 0.000 2.009
Rh 0.000 0.000 4.452
Rh 0.000 2.306 6.795
Rh 1.417 0.000 6.795
Rh 1.417 2.306 4.452
```

crystal system	orthorhombic
D(E_F)	1.182	states/eV per atom
total DFT energy (no corrections)	-5.1892	eV per atom

=====

Density functional theory data (PBE-GGA) for a geometry-optimized TlW3 structure.

Cell and atoms, written as extended XYZ:
```
4
Lattice="4.103 0.000 0.000 0.000 4.103 0.000 0.000 0.000 4.103" Properties=species:S:1:pos:R:3 pbc="T T T"
Tl 0.000 0.000 0.000
W 0.000 2.052 2.052
W 2.052 0.000 2.052
W 2.052 2.052 0.000
```

crystal system	cubic
D(E_F)	0.395	states/eV per atom
distance to the lowest polymorph of the same formula	0.2512	eV/atom
total DFT energy (no corrections)	-9.4845	eV per atom

=====

Density functional theory data (PBE-GGA) for a geometry-optimized SrRhPb2 structure.

Cell and atoms, written as extended XYZ:
```
8
Lattice="8.224 0.000 0.000 0.000 4.747 0.000 -2.730 0.000 5.790" Properties=species:S:1:pos:R:3 pbc="T T T"
Sr 0.000 0.000 0.000
Sr 4.112 2.374 0.000
Rh 0.009 0.000 3.165
Rh 4.121 2.374 3.165
Pb -1.362 2.374 3.837
Pb 1.378 2.374 2.076
Pb 2.750 0.000 3.837
Pb 5.490 0.000 2.076
```

crystal system	monoclinic
D(E_F)	0.755	states/eV per atom
total DFT energy (no corrections)	-4.4239	eV per atom

=====

Density functional theory data (PBE-GGA) for a geometry-optimized NdY4 structure.

Cell and atoms, written as extended XYZ:
```
10
Lattice="6.227 0.000 0.000 0.000 3.597 0.000 -2.044 0.000 14.610" Properties=species:S:1:pos:R:3 pbc="T T T"
Nd 0.000 0.000 0.000
Nd 3.113 1.798 0.000
Y -1.009 1.798 11.653
Y 0.019 0.000 8.759
Y 1.050 1.798 5.851
Y 2.078 0.000 2.957
Y 2.104 0.000 11.653
Y 3.133 1.798 8.759
Y 4.163 0.000 5.851
Y 5.192 1.798 2.957
```

crystal system	monoclinic
D(E_F)	1.467	states/eV per atom
distance to the lowest polymorph of the same formula	0.0000	eV/atom
total DFT energy (no corrections)	-6.1060	eV per atom

=====

Density functional theory data (PBE-GGA) for a geometry-optimized LaYTiCd2 structure.

Cell and atoms, written as extended XYZ:
```
5
Lattice="5.388 0.000 0.000 0.000 5.388 0.000 0.000 0.000 5.009" Properties=species:S:1:pos:R:3 pbc="T T T"
La 0.000 0.000 0.000
Y 2.694 2.694 0.000
Ti 2.694 2.694 2.504
Cd 0.000 2.694 2.504
Cd 2.694 0.000 2.504
```

crystal system	tetragonal
D(E_F)	1.589	states/eV per atom
total DFT energy (no corrections)	-3.8955	eV per atom

=====

Density functional theory data (PBE-GGA) for a geometry-optimized Na4SeCl2 structure.

Cell and atoms, written as extended XYZ:
```
14
Lattice="5.414 0.000 0.000 0.000 5.414 0.000 0.000 0.000 14.912" Properties=species:S:1:pos:R:3 pbc="T T T"
Na 0.000 0.000 2.733
Na 0.000 0.000 12.179
Na 0.000 2.707 0.000
Na 0.000 2.707 7.456
Na 2.707 0.000 0.000
Na 2.707 0.000 7.456
Na 2.707 2.707 4.723
Na 2.707 2.707 10.189
Se 0.000 0.000 0.000
Se 2.707 2.707 7.456
Cl 0.000 0.000 5.321
Cl 0.000 0.000 9.590
Cl 2.707 2.707 2.135
Cl 2.707 2.707 12.777
```

crystal system	tetragonal
D(E_F)	0.000	states/eV per atom
E_form (uncorrected)	-1.2977	eV/atom
total DFT energy (no corrections)	-3.0768	eV per atom

=====

Density functional theory data (PBE-GGA) for a geometry-optimized Sm4GaHg2 structure.

Cell and atoms, written as extended XYZ:
```
7
Lattice="2.631 1.519 8.490 -2.631 1.519 8.490 0.000 -3.038 8.490" Properties=species:S:1:pos:R:3 pbc="T T T"
Sm 0.000 0.000 3.140
Sm 0.000 0.000 9.551
Sm 0.000 0.000 15.918
Sm 0.000 0.000 22.329
Ga 0.000 0.000 12.734
Hg 0.000 0.000 6.371
Hg 0.000 0.000 19.098
```

crystal system	trigonal
D(E_F)	1.240	states/eV per atom
total DFT energy (no corrections)	-3.5445	eV per atom

=====

Density functional theory data (PBE-GGA) for a geometry-optimized KNa2CeI6 structure.

Cell and atoms, written as extended XYZ:
```
10
Lattice="4.125 2.381 7.544 -4.125 2.381 7.544 0.000 -4.763 7.544" Properties=species:S:1:pos:R:3 pbc="T T T"
K 0.000 0.000 0.000
Na 0.000 0.000 6.743
Na 0.000 0.000 18.289
Ce 0.000 0.000 11.024
I -2.430 -0.278 9.016
I -1.419 -2.311 12.664
I 1.455 -1.965 9.016
I -1.292 2.384 12.665
I 0.974 2.243 9.016
I 2.711 -0.073 12.665
```

crystal system	trigonal
D(E_F)	0.824	states/eV per atom
E_form (uncorrected)	-1.3309	eV/atom
total DFT energy (no corrections)	-3.2279	eV per atom

=====

Density functional theory data (PBE-GGA) for a geometry-optimized Er2ZnCr structure.

Cell and atoms, written as extended XYZ:
```
16
Lattice="7.067 0.000 0.000 0.000 7.067 0.000 0.000 0.000 7.067" Properties=species:S:1:pos:R:3 pbc="T T T"
Er 1.767 1.767 1.767
Er 1.767 1.767 5.300
Er 1.767 5.300 1.767
Er 1.767 5.300 5.300
Er 5.300 1.767 1.767
Er 5.300 1.767 5.300
Er 5.300 5.300 1.767
Er 5.300 5.300 5.300
Zn 0.000 0.000 0.000
Zn 0.000 3.533 3.533
Zn 3.533 0.000 3.533
Zn 3.533 3.533 0.000
Cr 0.000 0.000 3.533
Cr 0.000 3.533 0.000
Cr 3.533 0.000 0.000
Cr 3.533 3.533 3.533
```

crystal system	cubic
D(E_F)	0.389	states/eV per atom
distance to the lowest polymorph of the same formula	0.0000	eV/atom
total DFT energy (no corrections)	-5.0072	eV per atom

=====

Density functional theory data (PBE-GGA) for a geometry-optimized Tb7Pm2Mg2 structure.

Cell and atoms, written as extended XYZ:
```
11
Lattice="6.093 0.000 0.000 -1.025 6.019 0.000 -0.964 -0.176 9.252" Properties=species:S:1:pos:R:3 pbc="T T T"
Tb 0.000 0.000 0.000
Tb 0.012 2.033 6.695
Tb 1.023 4.282 4.223
Tb 1.041 5.345 7.565
Tb 3.063 0.498 1.687
Tb 3.081 1.560 5.029
Tb 4.092 3.810 2.557
Pm 1.058 3.248 0.894
Pm 3.046 2.595 8.358
Mg 0.034 0.998 3.413
Mg 4.070 4.845 5.839
```

crystal system	triclinic
D(E_F)	1.211	states/eV per atom
distance to the lowest polymorph of the same formula	0.0000	eV/atom
total DFT energy (no corrections)	-4.0752	eV per atom

=====

Density functional theory data (PBE-GGA) for a geometry-optimized KSrIN2 structure.

Cell and atoms, written as extended XYZ:
```
5
Lattice="5.007 0.000 0.000 0.000 5.007 0.000 0.000 0.000 6.215" Properties=species:S:1:pos:R:3 pbc="T T T"
K 0.000 0.000 0.000
Sr 2.503 2.503 3.107
I 0.000 0.000 3.107
N 0.000 2.503 0.000
N 2.503 0.000 0.000
```

crystal system	tetragonal
D(E_F)	0.893	states/eV per atom
E_form (uncorrected)	1.0321	eV/atom
distance to the lowest polymorph of the same formula	0.4853	eV/atom
total DFT energy (no corrections)	-3.1639	eV per atom

=====

Density functional theory data (PBE-GGA) for a geometry-optimized NbOs2Se structure.

Cell and atoms, written as extended XYZ:
```
16
Lattice="5.576 0.000 0.000 0.000 5.576 0.000 0.000 0.000 11.573" Properties=species:S:1:pos:R:3 pbc="T T T"
Nb 0.000 0.000 0.000
Nb 0.000 2.788 2.893
Nb 2.788 0.000 8.680
Nb 2.788 2.788 5.787
Os 1.270 1.394 7.233
Os 1.394 4.058 10.127
Os 1.394 4.306 4.340
Os 1.518 1.394 1.447
Os 4.058 4.182 1.447
Os 4.182 1.270 4.340
Os 4.182 1.518 10.127
Os 4.306 4.182 7.233
Se 0.000 0.000 5.787
Se 0.000 2.788 8.680
Se 2.788 0.000 2.893
Se 2.788 2.788 0.000
```

crystal system	tetragonal
D(E_F)	0.536	states/eV per atom
E_form (uncorrected)	0.8428	eV/atom
total DFT energy (no corrections)	-8.1606	eV per atom

=====

Density functional theory data (PBE-GGA) for a geometry-optimized Cr3CoC structure.

Cell and atoms, written as extended XYZ:
```
5
Lattice="4.284 0.000 0.000 0.000 4.284 0.000 0.000 0.000 4.284" Properties=species:S:1:pos:R:3 pbc="T T T"
Cr 0.000 0.000 2.142
Cr 0.000 2.142 0.000
Cr 2.142 0.000 0.000
Co 0.000 0.000 0.000
C 2.142 2.142 2.142
```

crystal system	cubic
D(E_F)	1.173	states/eV per atom
distance to the lowest polymorph of the same formula	1.9953	eV/atom
total DFT energy (no corrections)	-6.8844	eV per atom

=====

Density functional theory data (PBE-GGA) for a geometry-optimized Nd3Ga5O12 structure.

Cell and atoms, written as extended XYZ:
```
80
Lattice="-6.327 6.327 6.327 6.327 -6.327 6.327 6.327 6.327 -6.327" Properties=species:S:1:pos:R:3 pbc="T T T"
Nd 3.164 1.582 0.000
Nd 6.327 3.164 -1.582
Nd 1.582 0.000 3.164
Nd 7.909 0.000 3.164
Nd 0.000 3.164 1.582
Nd 3.164 -1.582 6.327
Nd 3.164 7.909 0.000
Nd 6.327 3.164 4.745
Nd -1.582 6.327 3.164
Nd 4.745 6.327 3.164
Nd 0.000 3.164 7.909
Nd 3.164 4.745 6.327
Ga 0.000 0.000 0.000
Ga 3.164 3.164 -3.164
Ga 3.164 -3.164 3.164
Ga 6.327 0.000 0.000
Ga 9.491 1.582 0.000
Ga 6.327 -3.164 4.745
Ga 4.745 6.327 -3.164
Ga 4.745 0.000 3.164
Ga 3.164 4.745 0.000
Ga 6.327 3.164 1.582
Ga -3.164 3.164 3.164
Ga 0.000 6.327 0.000
Ga 0.000 0.000 6.327
Ga 3.164 3.164 3.164
Ga 0.000 3.164 4.745
Ga 3.164 1.582 6.327
Ga 1.582 6.327 3.164
Ga 1.582 0.000 9.491
Ga 0.000 9.491 1.582
Ga -3.164 4.745 6.327
O 1.885 -0.373 0.664
O 7.606 3.828 -3.537
O 8.212 0.373 0.664
O 7.606 -2.500 3.537
O 5.954 -0.664 1.885
O 9.864 -1.278 2.500
O 0.664 1.885 -0.373
O 8.827 2.790 -1.278
O 3.828 3.537 -1.278
O 5.663 1.885 0.373
O -0.373 0.664 1.885
O 3.537 -1.278 3.828
O 5.954 5.663 -1.885
O 3.537 1.278 2.500
O 3.828 -3.537 7.606
O 5.663 -1.885 5.954
O 2.500 3.537 1.278
O 6.991 4.442 0.373
O 3.537 7.606 -2.500
O 5.954 0.664 4.442
O 1.885 5.954 -0.664
O 7.606 2.500 2.790
O 1.278 2.500 3.537
O 1.885 0.373 5.663
O 4.442 5.954 0.664
O 5.049 3.828 2.790
O -1.278 3.828 3.537
O 4.442 0.373 6.991
O 0.373 5.663 1.885
O 2.790 -1.278 8.827
O -0.664 1.885 5.954
O 3.828 2.790 5.049
O 0.664 8.212 0.373
O 2.500 9.864 -1.278
O 2.790 5.049 3.828
O 0.373 0.664 8.212
O 2.790 7.606 2.500
O 6.700 5.663 4.442
O 0.664 4.442 5.954
O 2.500 2.790 7.606
O -2.500 3.537 7.606
O 5.663 4.442 6.700
O -3.537 7.606 3.828
O 0.373 6.991 4.442
O -1.278 8.827 2.790
O -1.885 5.954 5.663
O -1.278 2.500 9.864
O 4.442 6.700 5.663
```

crystal system	cubic
D(E_F)	0.000	states/eV per atom
E_form (uncorrected)	-2.4863	eV/atom
total DFT energy (no corrections)	-6.9331	eV per atom

=====

Density functional theory data (PBE-GGA) for a geometry-optimized ThAl12Cu6 structure.

Cell and atoms, written as extended XYZ:
```
19
Lattice="5.619 3.244 2.841 -5.619 3.244 2.841 0.000 -6.488 2.841" Properties=species:S:1:pos:R:3 pbc="T T T"
Th 0.000 0.000 0.000
Al -2.159 -3.740 4.262
Al -4.318 0.000 4.262
Al -1.431 -0.826 2.809
Al 1.431 -0.826 2.809
Al 0.000 1.653 2.809
Al 2.159 -3.740 4.262
Al -2.159 3.740 4.262
Al 0.000 -1.653 5.714
Al -1.431 0.826 5.714
Al 1.431 0.826 5.714
Al 4.318 0.000 4.262
Al 2.159 3.740 4.262
Cu 0.000 -2.911 3.548
Cu -2.521 1.456 3.548
Cu -2.521 -1.456 4.975
Cu 2.521 1.456 3.548
Cu 2.521 -1.456 4.975
Cu 0.000 2.911 4.975
```

crystal system	trigonal
D(E_F)	0.497	states/eV per atom
total DFT energy (no corrections)	-4.1489	eV per atom

=====

Density functional theory data (PBE-GGA) for a geometry-optimized Rb3PmTm3Te8 structure.

Cell and atoms, written as extended XYZ:
```
15
Lattice="4.399 2.540 8.799 -4.399 2.540 8.799 0.000 -5.080 8.799" Properties=species:S:1:pos:R:3 pbc="T T T"
Rb -2.200 -1.270 8.799
Rb -2.200 1.270 17.597
Rb 0.000 2.540 8.799
Pm 0.000 0.000 13.198
Tm -4.399 0.000 13.198
Tm -2.200 1.270 4.399
Tm 2.200 1.270 4.399
Te -2.276 -1.314 14.964
Te 0.000 0.000 6.133
Te 0.000 -2.628 11.432
Te -2.276 1.314 11.432
Te 2.276 -1.314 14.964
Te 0.000 2.628 14.964
Te 0.000 0.000 20.262
Te 2.276 1.314 11.432
```

crystal system	trigonal
D(E_F)	0.465	states/eV per atom
E_form (uncorrected)	-1.3008	eV/atom
total DFT energy (no corrections)	-4.3809	eV per atom

=====

Density functional theory data (PBE-GGA) for a geometry-optimized K2CaBe structure.

Cell and atoms, written as extended XYZ:
```
12
Lattice="4.385 0.000 0.000 -2.192 3.797 0.000 0.000 0.000 33.846" Properties=species:S:1:pos:R:3 pbc="T T T"
K 0.000 0.000 0.000
K 0.000 0.000 7.173
K 0.000 2.531 22.564
K 0.000 2.531 29.737
K 2.192 1.266 11.282
K 2.192 1.266 18.455
Ca 0.000 0.000 26.069
Ca 0.000 2.531 14.787
Ca 2.192 1.266 3.505
Be 0.000 0.000 16.277
Be 0.000 2.531 4.995
Be 2.192 1.266 27.559
```

crystal system	trigonal
D(E_F)	0.926	states/eV per atom
total DFT energy (no corrections)	-1.4623	eV per atom

=====

Density functional theory data (PBE-GGA) for a geometry-optimized Pr3Sb4Rh7 structure.

Cell and atoms, written as extended XYZ:
```
14
Lattice="8.126 -2.148 0.000 8.126 2.148 0.000 -5.839 0.000 8.124" Properties=species:S:1:pos:R:3 pbc="T T T"
Pr 0.000 0.000 0.000
Pr 3.433 0.000 2.811
Pr 6.980 0.000 5.313
Sb -3.068 0.000 6.781
Sb 1.216 0.000 5.903
Sb 9.197 0.000 2.221
Sb 13.480 0.000 1.343
Rh -2.920 0.000 4.062
Rh 0.128 0.000 3.466
Rh -0.648 0.000 7.813
Rh 3.853 0.000 5.755
Rh 6.559 0.000 2.369
Rh 11.061 0.000 0.311
Rh 10.284 0.000 4.658
```

crystal system	monoclinic
D(E_F)	0.676	states/eV per atom
E_form (uncorrected)	-0.7480	eV/atom
total DFT energy (no corrections)	-6.6257	eV per atom